Arrangement P

# Al2Ga2Tc PBE relaxed
data_Al2Ga2Tc
_space_group_name_H-M_alt 'P 1 21/c 1'
_space_group_IT_number 14
_cell_length_a 10.820
_cell_length_b 5.367
_cell_length_c 5.560
_cell_angle_alpha 90.00
_cell_angle_beta 97.37
_cell_angle_gamma 90.00
loop_
_space_group_symop_operation_xyz
'x,y,z'
'-x,-y,-z'
'-x,y+1/2,-z+1/2'
'x,-y+1/2,z+1/2'
loop_
_atom_site_label
_atom_site_type_symbol
_atom_site_fract_x
_atom_site_fract_y
_atom_site_fract_z
_atom_site_occupancy
Al1 Al 0.112 0.249 0.032 1
Al2 Al 0.311 0.554 0.364 1
Ga1 Ga 0.126 0.745 0.054 1
Ga2 Ga 0.483 0.191 0.656 1
Tc1 Tc 0.293 0.064 0.325 1
# Mass density: 6.044 Mg/m³

---

Arrangement Q

# Al2Ga2Tc PBE relaxed
data_Al2Ga2Tc
_space_group_name_H-M_alt 'P 4/m b m'
_space_group_IT_number 127
_space_group_name_Hall '-P 4 2ab'
_cell_length_a 6.681
_cell_length_b 6.681
_cell_length_c 3.540
_cell_angle_alpha 90.00
_cell_angle_beta 90.00
_cell_angle_gamma 90.00
loop_
_atom_site_label
_atom_site_type_symbol
_atom_site_fract_x
_atom_site_fract_y
_atom_site_fract_z
_atom_site_occupancy
Al1 Al 0.169 0.331 0.000 1
Ga1 Ga 0.135 0.635 0.500 1
Tc1 Tc 0.000 0.000 0.500 1
# Mass density: 6.125 Mg/m³

---

Arrangement R

# Al2Ga2Tc PBE relaxed
data_Al2Ga2Tc
_space_group_name_H-M_alt 'P 4/m b m'
_space_group_IT_number 127
_space_group_name_Hall '-P 4 2ab'
_cell_length_a 6.689
_cell_length_b 6.689
_cell_length_c 3.629
_cell_angle_alpha 90.00
_cell_angle_beta 90.00
_cell_angle_gamma 90.00
loop_
_atom_site_label
_atom_site_type_symbol
_atom_site_fract_x
_atom_site_fract_y
_atom_site_fract_z
_atom_site_occupancy
Al1 Al 0.142 0.358 0.000 1
Ga1 Ga 0.163 0.663 0.500 1
Tc1 Tc 0.000 0.000 0.000 1
# Mass density: 5.960 Mg/m³

---

Here are the energies relative to the best structure, in kJ/mol of atoms: arrangement P 0.0; arrangement Q 23.4; arrangement R 32.0.

---

Arrangement P

# TiAlGaTc PBE relaxed
data_TiAlGaTc
_space_group_name_H-M_alt 'F -4 3 m'
_space_group_IT_number 216
_space_group_name_Hall 'F -4 2 3'
_cell_length_a 6.193
_cell_length_b 6.193
_cell_length_c 6.193
_cell_angle_alpha 90.00
_cell_angle_beta 90.00
_cell_angle_gamma 90.00
loop_
_atom_site_label
_atom_site_type_symbol
_atom_site_fract_x
_atom_site_fract_y
_atom_site_fract_z
_atom_site_occupancy
Ti1 Ti 0.000 0.000 0.000 1
Al1 Al 0.000 0.000 0.500 1
Ga1 Ga 0.250 0.250 0.250 1
Tc1 Tc 0.250 0.250 0.750 1
# Mass density: 6.784 Mg/m³

---

Arrangement Q

# TiAlGaTc PBE relaxed
data_TiAlGaTc
_space_group_name_H-M_alt 'P 4 m m'
_space_group_IT_number 99
_cell_length_a 3.246
_cell_length_b 3.246
_cell_length_c 5.779
_cell_angle_alpha 90.00
_cell_angle_beta 90.00
_cell_angle_gamma 90.00
loop_
_space_group_symop_operation_xyz
'x,y,z'
'-y,x,z'
'-x,-y,z'
'y,-x,z'
'-x,y,z'
'y,x,z'
'x,-y,z'
'-y,-x,z'
loop_
_atom_site_label
_atom_site_type_symbol
_atom_site_fract_x
_atom_site_fract_y
_atom_site_fract_z
_atom_site_occupancy
Ti1 Ti 0.000 0.000 0.000 1
Al1 Al 0.000 0.000 0.530 1
Ga1 Ga 0.500 0.500 0.276 1
Tc1 Tc 0.500 0.500 0.773 1
# Mass density: 6.617 Mg/m³

---

Here are the energies relative to the best structure, in kJ/mol of atoms: arrangement P 12.0; arrangement Q 0.0.

---

Arrangement P

# AlVGaTc PBE relaxed
data_AlVGaTc
_space_group_name_H-M_alt 'F -4 3 m'
_space_group_IT_number 216
_space_group_name_Hall 'F -4 2 3'
_cell_length_a 6.082
_cell_length_b 6.082
_cell_length_c 6.082
_cell_angle_alpha 90.00
_cell_angle_beta 90.00
_cell_angle_gamma 90.00
loop_
_atom_site_label
_atom_site_type_symbol
_atom_site_fract_x
_atom_site_fract_y
_atom_site_fract_z
_atom_site_occupancy
Al1 Al 0.000 0.000 0.000 1
V1 V 0.000 0.000 0.500 1
Ga1 Ga 0.250 0.250 0.750 1
Tc1 Tc 0.250 0.250 0.250 1
# Mass density: 7.252 Mg/m³

---

Arrangement Q

# AlVGaTc PBE relaxed
data_AlVGaTc
_space_group_name_H-M_alt 'P 4 m m'
_space_group_IT_number 99
_cell_length_a 3.152
_cell_length_b 3.152
_cell_length_c 5.773
_cell_angle_alpha 90.00
_cell_angle_beta 90.00
_cell_angle_gamma 90.00
loop_
_space_group_symop_operation_xyz
'x,y,z'
'-y,x,z'
'-x,-y,z'
'y,-x,z'
'-x,y,z'
'y,x,z'
'x,-y,z'
'-y,-x,z'
loop_
_atom_site_label
_atom_site_type_symbol
_atom_site_fract_x
_atom_site_fract_y
_atom_site_fract_z
_atom_site_occupancy
Al1 Al 0.000 0.000 0.000 1
V1 V 0.000 0.000 0.479 1
Ga1 Ga 0.500 0.500 0.735 1
Tc1 Tc 0.500 0.500 0.250 1
# Mass density: 7.110 Mg/m³

---

Here are the energies relative to the best structure, in kJ/mol of atoms: arrangement P 9.5; arrangement Q 0.0.

---

Arrangement P

# Al3GaTe PBE relaxed
data_Al3GaTe
_space_group_name_H-M_alt 'P m -3 m'
_space_group_IT_number 221
_space_group_name_Hall '-P 4 2 3'
_cell_length_a 4.949
_cell_length_b 4.949
_cell_length_c 4.949
_cell_angle_alpha 90.00
_cell_angle_beta 90.00
_cell_angle_gamma 90.00
loop_
_atom_site_label
_atom_site_type_symbol
_atom_site_fract_x
_atom_site_fract_y
_atom_site_fract_z
_atom_site_occupancy
Al1 Al 0.000 0.000 0.500 1
Ga1 Ga 0.000 0.000 0.000 1
Te1 Te 0.500 0.500 0.500 1
# Mass density: 3.812 Mg/m³

---

Arrangement Q

# Al3GaTe PBE relaxed
data_Al3GaTe
_space_group_name_H-M_alt 'P m -3 m'
_space_group_IT_number 221
_space_group_name_Hall '-P 4 2 3'
_cell_length_a 5.406
_cell_length_b 5.406
_cell_length_c 5.406
_cell_angle_alpha 90.00
_cell_angle_beta 90.00
_cell_angle_gamma 90.00
loop_
_atom_site_label
_atom_site_type_symbol
_atom_site_fract_x
_atom_site_fract_y
_atom_site_fract_z
_atom_site_occupancy
Al1 Al 0.000 0.000 0.500 1
Ga1 Ga 0.500 0.500 0.500 1
Te1 Te 0.000 0.000 0.000 1
# Mass density: 2.925 Mg/m³

---

Here are the energies relative to the best structure, in kJ/mol of atoms: arrangement P 0.0; arrangement Q 60.9.

---

Arrangement P

# AlGaTe3 PBE relaxed
data_AlGaTe3
_space_group_name_H-M_alt 'P m -3 m'
_space_group_IT_number 221
_space_group_name_Hall '-P 4 2 3'
_cell_length_a 5.383
_cell_length_b 5.383
_cell_length_c 5.383
_cell_angle_alpha 90.00
_cell_angle_beta 90.00
_cell_angle_gamma 90.00
loop_
_atom_site_label
_atom_site_type_symbol
_atom_site_fract_x
_atom_site_fract_y
_atom_site_fract_z
_atom_site_occupancy
Al1 Al 0.000 0.000 0.000 1
Ga1 Ga 0.500 0.500 0.500 1
Te1 Te 0.000 0.000 0.500 1
# Mass density: 5.106 Mg/m³

---

Arrangement Q

# AlGaTe3 PBE relaxed
data_AlGaTe3
_space_group_name_H-M_alt 'C 1 2/m 1'
_space_group_IT_number 12
_cell_length_a 14.107
_cell_length_b 4.059
_cell_length_c 11.761
_cell_angle_alpha 90.00
_cell_angle_beta 97.02
_cell_angle_gamma 90.00
loop_
_space_group_symop_operation_xyz
'x,y,z'
'-x,-y,-z'
'-x,y,-z'
'x,-y,z'
'x+1/2,y+1/2,z'
'-x+1/2,-y+1/2,-z'
'-x+1/2,y+1/2,-z'
'x+1/2,-y+1/2,z'
loop_
_atom_site_label
_atom_site_type_symbol
_atom_site_fract_x
_atom_site_fract_y
_atom_site_fract_z
_atom_site_occupancy
Al1 Al 0.163 0.000 0.397 1
Ga1 Ga 0.075 0.500 0.783 1
Te1 Te 0.117 0.500 0.243 1
Te2 Te 0.143 0.500 0.566 1
Te3 Te 0.145 0.000 0.900 1
# Mass density: 4.765 Mg/m³

---

Here are the energies relative to the best structure, in kJ/mol of atoms: arrangement P 39.8; arrangement Q 0.0.

---

Arrangement P

# AlGa3Te PBE relaxed
data_AlGa3Te
_space_group_name_H-M_alt 'P m -3 m'
_space_group_IT_number 221
_space_group_name_Hall '-P 4 2 3'
_cell_length_a 5.565
_cell_length_b 5.565
_cell_length_c 5.565
_cell_angle_alpha 90.00
_cell_angle_beta 90.00
_cell_angle_gamma 90.00
loop_
_atom_site_label
_atom_site_type_symbol
_atom_site_fract_x
_atom_site_fract_y
_atom_site_fract_z
_atom_site_occupancy
Al1 Al 0.000 0.000 0.000 1
Ga1 Ga 0.000 0.500 0.500 1
Te1 Te 0.500 0.500 0.500 1
# Mass density: 3.505 Mg/m³

---

Arrangement Q

# AlGa3Te PBE relaxed
data_AlGa3Te
_space_group_name_H-M_alt 'P m -3 m'
_space_group_IT_number 221
_space_group_name_Hall '-P 4 2 3'
_cell_length_a 5.020
_cell_length_b 5.020
_cell_length_c 5.020
_cell_angle_alpha 90.00
_cell_angle_beta 90.00
_cell_angle_gamma 90.00
loop_
_atom_site_label
_atom_site_type_symbol
_atom_site_fract_x
_atom_site_fract_y
_atom_site_fract_z
_atom_site_occupancy
Al1 Al 0.000 0.000 0.000 1
Ga1 Ga 0.000 0.000 0.500 1
Te1 Te 0.500 0.500 0.500 1
# Mass density: 4.774 Mg/m³

---

Here are the energies relative to the best structure, in kJ/mol of atoms: arrangement P 62.0; arrangement Q 0.0.